# Li2BiBO4, optimized geometry, DFT PBEsol
data_Li2BiBO4
_cell_length_a 6.749
_cell_length_b 4.750
_cell_length_c 11.284
_cell_angle_alpha 90.00
_cell_angle_beta 94.99
_cell_angle_gamma 90.00
_symmetry_space_group_name_H-M 'P 1 21/c 1'
_symmetry_Int_Tables_number 14
_symmetry_space_group_name_Hall '-P 2ybc'
loop_
_atom_site_label
_atom_site_type_symbol
_atom_site_fract_x
_atom_site_fract_y
_atom_site_fract_z
Li1 Li 0.101 0.240 0.204
Li2 Li 0.184 0.236 0.428
Bi1 Bi 0.477 0.743 0.864
B1 B 0.197 0.740 0.093
O1 O 0.065 0.651 0.170
O2 O 0.220 0.021 0.065
O3 O 0.308 0.544 0.034
O4 O 0.373 0.208 0.300
# **E above lowest polymorph**: 0.00 kJ/mol of atoms
# **Mass density**: 5.5 g cm⁻³
# **Formation energy (no corrections)**: -1.93 eV/atom
# **DOS at the Fermi energy**: 0.000 states/eV per atom